This record from Alexandria describes ZrAgPS2 after structural relaxation. The functional is GGA-PBE.

Geometry as extended XYZ:
```
5
Lattice="4.9736 0.0000 0.0000 0.0000 4.9736 0.0000 0.0000 0.0000 5.0898" Properties=species:S:1:pos:R:3 pbc="T T T"
P 0.0000 0.0000 2.5449
S 0.0000 2.4868 0.0000
S 2.4868 0.0000 0.0000
Zr 0.0000 0.0000 0.0000
Ag 2.4868 2.4868 2.5449
```

Computed properties:
- Density of states at the Fermi level: 5.6 states/eV per cell
- Total DFT energy (no corrections): -5.054 eV/atom
- Polymorph energy (0 for the lowest one): 0.0 kJ per mole of atoms
- Raw formation energy: -0.041 eV/atom
- M_tot: 0.41 μB per cell